# Ni2HgMo

An optimized crystal structure of Ni2HgMo (PBE, Alexandria).

Output
**Fermi-level density of states**: 4.32 states/eV per cell
**Magnetization**: 0.00 Bohr magnetons per cell
**Energy of formation**: 0.275 eV per atom

a b c (Å): 8.832 8.832 8.832
angles (deg): 18.38 18.38 18.38
Fractional positions:
Ni (0.006, 0.006, 0.006)
Ni (0.494, 0.494, 0.494)
Mo (0.750, 0.750, 0.750)
Hg (0.250, 0.250, 0.250)

=====

# Pr5Ho3Er

An optimized crystal structure of Pr5Ho3Er (PBE, Alexandria).

Output
**Fermi-level density of states**: 24.54 states/eV per cell
**Distance to the lowest polymorph of the same formula**: 0 meV/atom
**Magnetization**: 0.00 Bohr magnetons per cell
**Energy of formation**: 0.267 eV per atom

a b c (Å): 6.347 10.998 11.798
angles (deg): 124.72 90.00 106.77
Fractional positions:
Ho (0.951, 0.350, 0.826)
Ho (0.000, 0.000, 0.000)
Ho (0.000, 0.000, 0.500)
Ho (0.399, 0.350, 0.326)
Ho (0.049, 0.650, 0.174)
Ho (0.601, 0.650, 0.674)
Pr (0.532, 0.723, 0.385)
Pr (0.592, 0.000, 0.250)
Pr (0.645, 0.640, 0.970)
Pr (0.355, 0.360, 0.030)
Pr (0.006, 0.360, 0.530)
Pr (0.468, 0.277, 0.615)
Pr (0.408, 0.000, 0.750)
Pr (0.191, 0.723, 0.885)
Pr (0.809, 0.277, 0.115)
Pr (0.994, 0.640, 0.470)
Er (0.101, 0.000, 0.250)
Er (0.899, 0.000, 0.750)

=====

# Cd3CoCu

An optimized crystal structure of Cd3CoCu (PBE, Alexandria).

Output
**Fermi-level density of states**: 5.31 states/eV per cell
**Distance to the lowest polymorph of the same formula**: 0 meV/atom
**Magnetization**: 0.83 Bohr magnetons per cell
**Energy of formation**: 0.721 eV per atom

a b c (Å): 4.918 4.918 4.918
angles (deg): 90.00 90.00 90.00
Last column: magnetic moment on the atom in μB.
Fractional positions:
Cd (0.500, 0.000, 0.000)  -0.02
Cd (0.000, 0.500, 0.000)  -0.01
Cd (0.000, 0.000, 0.500)  -0.02
Cu (0.500, 0.500, 0.500)  0.02
Co (0.000, 0.000, 0.000)  0.87

=====

# K3Ac2NbO6

An optimized crystal structure of K3Ac2NbO6 (PBE, Alexandria).

Output
**Fermi-level density of states**: 4.26 states/eV per cell
**Formation energy without anion corrections**: -2235.5 meV/atom
**Magnetization**: 1.99 Bohr magnetons per cell

a b c (Å): 6.350 6.350 6.653
angles (deg): 98.89 98.89 120.30
Last column: magnetic moment on the atom in μB.
Fractional positions:
Nb (0.000, 0.000, 0.000)  1.36
O (0.060, 0.352, 0.186)  0.01
O (0.648, 0.940, 0.814)  0.01
O (0.751, 0.751, 0.194)  0.01
O (0.940, 0.648, 0.814)  0.01
O (0.352, 0.060, 0.186)  0.01
O (0.249, 0.249, 0.806)  0.01
K (0.152, 0.848, 0.500)  0.01
K (0.500, 0.500, 0.500)  0.01
K (0.848, 0.152, 0.500)  0.01
Ac (0.334, 0.666, 0.000)  0.04
Ac (0.666, 0.334, 0.000)  0.04

=====

# Nb2Fe2Au

An optimized crystal structure of Nb2Fe2Au (PBE, Alexandria).

Output
**Fermi-level density of states**: 8.62 states/eV per cell
**Distance to the lowest polymorph of the same formula**: 0 meV/atom
**Magnetization**: 0.00 Bohr magnetons per cell
**Energy of formation**: -0.045 eV per atom

a b c (Å): 7.050 7.050 3.015
angles (deg): 90.00 90.00 90.00
Fractional positions:
Au (0.500, 0.500, 0.000)
Au (0.000, 0.000, 0.000)
Fe (0.134, 0.366, 0.000)
Fe (0.634, 0.134, 0.000)
Fe (0.366, 0.866, 0.000)
Fe (0.866, 0.634, 0.000)
Nb (0.837, 0.337, 0.500)
Nb (0.663, 0.837, 0.500)
Nb (0.163, 0.663, 0.500)
Nb (0.337, 0.163, 0.500)

=====

# CdHg2Br

An optimized crystal structure of CdHg2Br (PBE, Alexandria).

Output
**Fermi-level density of states**: 1.15 states/eV per cell
**Distance to the lowest polymorph of the same formula**: 19 meV/atom
**Formation energy without anion corrections**: -176.5 meV/atom
**Magnetization**: 0.00 Bohr magnetons per cell

a b c (Å): 8.620 8.620 6.831
angles (deg): 50.88 50.88 90.00
Fractional positions:
Hg (0.375, 0.343, 0.750)
Hg (0.875, 0.907, 0.750)
Hg (0.093, 0.625, 0.250)
Hg (0.657, 0.125, 0.250)
Br (0.500, 0.500, 0.000)
Br (0.250, 0.750, 0.500)
Cd (0.000, 0.000, 0.000)
Cd (0.750, 0.250, 0.500)

=====

# SrBiF6

An optimized crystal structure of SrBiF6 (PBE, Alexandria).

Output
**Fermi-level density of states**: 3.77 states/eV per cell
**Distance to the lowest polymorph of the same formula**: 24 meV/atom
**Formation energy without anion corrections**: -2702.1 meV/atom
**Magnetization**: 0.00 Bohr magnetons per cell

a b c (Å): 5.038 5.038 5.049
angles (deg): 96.33 96.33 96.77
Fractional positions:
F (0.437, 0.811, 0.810)
F (0.189, 0.189, 0.568)
F (0.189, 0.563, 0.190)
F (0.811, 0.437, 0.810)
F (0.811, 0.811, 0.432)
F (0.563, 0.189, 0.190)
Sr (0.000, 0.000, 0.000)
Bi (0.500, 0.500, 0.500)

=====

# Li3PaSn2Te6

An optimized crystal structure of Li3PaSn2Te6 (PBE, Alexandria).

Output
**Formation energy without anion corrections**: -712.2 meV/atom
**Magnetization**: 0.00 Bohr magnetons per cell

a b c (Å): 7.742 7.742 7.336
angles (deg): 100.12 100.12 120.10
Fractional positions:
Li (0.500, 0.500, 0.500)
Li (0.830, 0.170, 0.500)
Li (0.170, 0.830, 0.500)
Te (0.596, 0.914, 0.742)
Te (0.914, 0.596, 0.742)
Te (0.086, 0.404, 0.258)
Te (0.235, 0.235, 0.747)
Te (0.765, 0.765, 0.253)
Te (0.404, 0.086, 0.258)
Sn (0.667, 0.333, 0.000)
Sn (0.333, 0.667, 0.000)
Pa (0.000, 0.000, 0.000)

=====

# RbCa2ZrMo

An optimized crystal structure of RbCa2ZrMo (PBE, Alexandria).

Output
**Fermi-level density of states**: 5.50 states/eV per cell
**Magnetization**: 0.72 Bohr magnetons per cell
**Energy of formation**: 1.892 eV per atom

a b c (Å): 5.373 5.026 5.373
angles (deg): 90.00 90.00 90.00
Last column: magnetic moment on the atom in μB.
Fractional positions:
Ca (0.500, 0.000, 0.000)  -0.01
Ca (0.000, 0.000, 0.500)  -0.02
Zr (0.500, 0.500, 0.500)  -0.28
Rb (0.000, 0.000, 0.000)  0.01
Mo (0.000, 0.500, 0.000)  1.07

=====

# CoTcAs2

An optimized crystal structure of CoTcAs2 (PBE, Alexandria).

Output
**Fermi-level density of states**: 4.32 states/eV per cell
**Distance to the lowest polymorph of the same formula**: 170 meV/atom
**Magnetization**: 1.05 Bohr magnetons per cell
**Energy of formation**: 0.094 eV per atom

a b c (Å): 4.305 4.305 4.305
angles (deg): 60.00 60.00 60.00
Last column: magnetic moment on the atom in μB.
Fractional positions:
Co (0.000, 0.000, 0.000)  0.75
As (0.750, 0.750, 0.750)  0.00
As (0.250, 0.250, 0.250)  0.00
Tc (0.500, 0.500, 0.500)  0.33

=====

# TbPr3Er2Se6

An optimized crystal structure of TbPr3Er2Se6 (PBE, Alexandria).

Output
**Fermi-level density of states**: 5.44 states/eV per cell
**Formation energy without anion corrections**: -1792.7 meV/atom
**Magnetization**: 0.00 Bohr magnetons per cell

a b c (Å): 7.123 7.123 7.372
angles (deg): 99.26 99.26 120.22
Fractional positions:
Se (0.077, 0.414, 0.231)
Se (0.923, 0.586, 0.769)
Se (0.414, 0.077, 0.231)
Se (0.586, 0.923, 0.769)
Se (0.739, 0.739, 0.230)
Se (0.261, 0.261, 0.770)
Pr (0.836, 0.164, 0.500)
Pr (0.500, 0.500, 0.500)
Pr (0.164, 0.836, 0.500)
Er (0.334, 0.666, 0.000)
Er (0.666, 0.334, 0.000)
Tb (0.000, 0.000, 0.000)

=====

# Na2LiNiRh

An optimized crystal structure of Na2LiNiRh (PBE, Alexandria).

Output
**Fermi-level density of states**: 3.99 states/eV per cell
**Magnetization**: 0.00 Bohr magnetons per cell
**Energy of formation**: 0.604 eV per atom

a b c (Å): 5.340 4.517 5.340
angles (deg): 90.00 90.00 90.00
Fractional positions:
Na (0.000, 0.000, 0.500)
Na (0.500, 0.000, 0.000)
Ni (0.000, 0.500, 0.000)
Rh (0.000, 0.000, 0.000)
Li (0.500, 0.500, 0.500)

=====

# TiCrSe2N

An optimized crystal structure of TiCrSe2N (PBE, Alexandria).

Output
**Fermi-level density of states**: 3.02 states/eV per cell
**Distance to the lowest polymorph of the same formula**: 21 meV/atom
**Formation energy without anion corrections**: 12.9 meV/atom
**Magnetization**: 3.29 Bohr magnetons per cell

a b c (Å): 5.080 5.080 3.738
angles (deg): 90.00 90.00 90.00
Last column: magnetic moment on the atom in μB.
Fractional positions:
Ti (0.000, 0.000, 0.000)  0.09
N (0.000, 0.000, 0.500)  -0.31
Se (0.500, 0.000, 0.000)  -0.25
Se (0.000, 0.500, 0.000)  -0.25
Cr (0.500, 0.500, 0.500)  3.90

=====

# Na2HfRhF

An optimized crystal structure of Na2HfRhF (PBE, Alexandria).

Output
**Fermi-level density of states**: 13.41 states/eV per cell
**Formation energy without anion corrections**: 403.1 meV/atom
**Magnetization**: 0.04 Bohr magnetons per cell

a b c (Å): 5.968 3.947 5.968
angles (deg): 90.00 90.00 90.00
Fractional positions:
Na (0.000, 0.000, 0.500)
Na (0.500, 0.000, 0.000)
Hf (0.000, 0.000, 0.000)
Rh (0.500, 0.500, 0.500)
F (0.000, 0.500, 0.000)

=====

# Pu3Ge2Pt2

An optimized crystal structure of Pu3Ge2Pt2 (PBE, Alexandria).

Output
**Fermi-level density of states**: 102.52 states/eV per cell
**Magnetization**: 65.46 Bohr magnetons per cell
**Energy of formation**: -0.701 eV per atom

a b c (Å): 5.614 8.137 13.179
angles (deg): 90.00 90.00 90.00
Last column: magnetic moment on the atom in μB.
Fractional positions:
Pu (0.864, 0.393, 0.897)  5.26
Pu (0.864, 0.393, 0.603)  5.26
Pu (0.358, 0.239, 0.250)  5.27
Pu (0.642, 0.761, 0.750)  5.27
Pu (0.136, 0.607, 0.103)  5.26
Pu (0.864, 0.107, 0.103)  5.26
Pu (0.136, 0.607, 0.397)  5.26
Pu (0.358, 0.261, 0.750)  5.27
Pu (0.864, 0.107, 0.397)  5.26
Pu (0.642, 0.739, 0.250)  5.27
Pu (0.136, 0.893, 0.897)  5.26
Pu (0.136, 0.893, 0.603)  5.26
Pt (0.615, 0.451, 0.407)  -0.07
Pt (0.615, 0.049, 0.907)  -0.07
Pt (0.615, 0.451, 0.093)  -0.07
Pt (0.615, 0.049, 0.593)  -0.07
Pt (0.385, 0.951, 0.407)  -0.07
Pt (0.385, 0.951, 0.093)  -0.07
Pt (0.385, 0.549, 0.593)  -0.07
Pt (0.385, 0.549, 0.907)  -0.07
Ge (0.133, 0.892, 0.250)  -0.09
Ge (0.687, 0.750, 0.500)  -0.10
Ge (0.687, 0.750, 0.000)  -0.10
Ge (0.867, 0.108, 0.750)  -0.09
Ge (0.867, 0.392, 0.250)  -0.09
Ge (0.313, 0.250, 0.000)  -0.10
Ge (0.313, 0.250, 0.500)  -0.10
Ge (0.133, 0.608, 0.750)  -0.09

=====

# HOsI3

An optimized crystal structure of HOsI3 (PBE, Alexandria).

Output
**Fermi-level density of states**: 5.57 states/eV per cell
**Distance to the lowest polymorph of the same formula**: 777 meV/atom
**Magnetization**: 0.00 Bohr magnetons per cell

a b c (Å): 4.749 4.749 4.749
angles (deg): 90.00 90.00 90.00
Fractional positions:
Os (0.500, 0.500, 0.500)
H (0.000, 0.000, 0.000)
I (0.500, 0.000, 0.000)
I (0.000, 0.500, 0.000)
I (0.000, 0.000, 0.500)

=====

# LiCoS2

An optimized crystal structure of LiCoS2 (PBE, Alexandria).

Output
**Distance to the lowest polymorph of the same formula**: 47 meV/atom
**Formation energy without anion corrections**: -696.2 meV/atom
**Magnetization**: 0.00 Bohr magnetons per cell

a b c (Å): 3.410 6.493 3.410
angles (deg): 105.22 60.00 105.22
Fractional positions:
Li (0.145, 0.435, 0.145)
S (0.275, 0.824, 0.275)
S (0.732, 0.196, 0.732)
Co (0.001, 0.004, 0.001)

=====

# BaLiIn4Ag2

An optimized crystal structure of BaLiIn4Ag2 (PBE, Alexandria).

Output
**Fermi-level density of states**: 2.86 states/eV per cell
**Magnetization**: 0.00 Bohr magnetons per cell
**Energy of formation**: -0.246 eV per atom

a b c (Å): 4.780 4.780 10.837
angles (deg): 77.26 77.26 60.00
Fractional positions:
Ag (0.774, 0.774, 0.677)
Ag (0.226, 0.226, 0.323)
In (0.405, 0.405, 0.786)
In (0.128, 0.128, 0.615)
In (0.595, 0.595, 0.214)
In (0.872, 0.872, 0.385)
Li (0.500, 0.500, 0.500)
Ba (0.000, 0.000, 0.000)

=====

# Pm4HgIrBr2

An optimized crystal structure of Pm4HgIrBr2 (PBE, Alexandria).

Output
**Fermi-level density of states**: 5.30 states/eV per cell
**Formation energy without anion corrections**: -928.9 meV/atom
**Magnetization**: 0.00 Bohr magnetons per cell

a b c (Å): 4.058 8.477 7.876
angles (deg): 67.26 90.00 90.00
Fractional positions:
Ir (0.000, 0.500, 0.500)
Br (0.500, 0.000, 0.500)
Br (0.000, 0.000, 0.000)
Pm (0.000, 0.296, 0.300)
Pm (0.000, 0.704, 0.700)
Pm (0.500, 0.304, 0.744)
Pm (0.500, 0.696, 0.256)
Hg (0.500, 0.500, 0.000)

=====

# LaRe2As

An optimized crystal structure of LaRe2As (PBE, Alexandria).

Output
**Fermi-level density of states**: 5.15 states/eV per cell
**Magnetization**: 0.16 Bohr magnetons per cell
**Energy of formation**: 0.597 eV per atom

a b c (Å): 4.745 4.745 4.745
angles (deg): 60.00 60.00 60.00
Last column: magnetic moment on the atom in μB.
Fractional positions:
As (0.500, 0.500, 0.500)  0.01
La (0.750, 0.750, 0.750)  0.01
Re (0.250, 0.250, 0.250)  0.02
Re (0.000, 0.000, 0.000)  0.09